# HfHg3P, optimized geometry, DFT GGA-PBE
data_HfHg3P
_symmetry_space_group_name_H-M 'P 1'
_symmetry_Int_Tables_number 1
_symmetry_space_group_name_Hall 'P 1'
_cell_length_a 5.482
_cell_length_b 5.482
_cell_length_c 5.482
_cell_angle_alpha 90.00
_cell_angle_beta 90.00
_cell_angle_gamma 90.00
loop_
_atom_site_label
_atom_site_type_symbol
_atom_site_fract_x
_atom_site_fract_y
_atom_site_fract_z
Hf1 Hf 0.000 0.000 0.000
Hg1 Hg 0.000 0.000 0.500
Hg2 Hg 0.000 0.500 0.000
Hg3 Hg 0.500 0.000 0.000
P1 P 0.500 0.500 0.500
# E above lowest polymorph: 235 meV/atom
# N(E_F): 4.5 states/eV/cell
# calculated density: 8.18 g/cm³
# energy of formation from the pure elements: 1.0637 eV/atom